{
  "formula": "Li4Ti3Mn3Nb2O16",
  "functional": "GGA+U",
  "state": "optimized geometry",
  "energy_ry_per_atom": -0.582,
  "sg": "Cm (8)",
  "cell": [[5.3445, -3.0226, 0.0000], [5.3445, 3.0226, 0.0000], [-0.2018, 0.0000, 9.9282]],
  "species": ["Li", "Li", "Li", "Li", "Ti", "Ti", "Ti", "Mn", "Mn", "Mn", "Nb", "Nb", "O", "O", "O", "O", "O", "O", "O", "O", "O", "O", "O", "O", "O", "O", "O", "O"],
  "fractional_positions": [[0.0000, 0.0000, 0.0000], [0.0062, 0.0062, 0.5059], [0.3478, 0.3478, 0.5840], [0.6828, 0.6828, 0.0824], [0.1639, 0.6632, 0.2726], [0.6632, 0.1639, 0.2726], [0.8319, 0.8319, 0.7537], [0.1748, 0.1748, 0.2810], [0.3474, 0.8430, 0.7882], [0.8430, 0.3474, 0.7882], [0.3450, 0.3450, 0.9953], [0.6574, 0.6574, 0.5032], [0.0469, 0.5110, 0.1541], [0.1764, 0.6634, 0.9044], [0.1780, 0.1780, 0.9228], [0.3423, 0.8330, 0.4004], [0.3581, 0.3581, 0.3828], [0.4875, 0.4875, 0.1585], [0.5110, 0.0469, 0.1541], [0.5322, 0.5322, 0.6354], [0.5451, 0.9776, 0.6388], [0.6634, 0.1764, 0.9044], [0.6997, 0.6997, 0.8820], [0.8330, 0.3423, 0.4004], [0.8457, 0.8457, 0.3862], [0.9776, 0.5451, 0.6388], [0.9977, 0.9977, 0.1873], [0.9987, 0.9987, 0.6933]]
}